LiSmDyBi | PBE-GGA | optimized geometry

a = 5.349 Å, b = 5.349 Å, c = 5.349 Å
α = 60.00°, β = 60.00°, γ = 60.00°
Sites, in units of the cell vectors:
Sm (0.750, 0.750, 0.750)
Bi (0.000, 0.000, 0.000)
Dy (0.250, 0.250, 0.250)
Li (0.500, 0.500, 0.500)

Properties
Symmetry: F-43m
Calculated formation energy (eV/atom): -0.32
ρ (kg/m³): 8113
Total magnetic moment (μB/cell): 0.000
Energy (Ry per atom): -0.302

Pr5SbAs4 | PBE-GGA | optimized geometry

a = 4.355 Å, b = 7.549 Å, c = 9.751 Å
α = 75.18°, β = 77.10°, γ = 73.24°
Sites, in units of the cell vectors:
As (0.202, 0.394, 0.203)
Pr (0.204, 0.901, 0.691)
Pr (0.000, 0.500, 0.500)
As (0.598, 0.203, 0.601)
As (0.798, 0.606, 0.797)
Pr (0.606, 0.683, 0.106)
Sb (0.000, 0.000, 0.000)
As (0.402, 0.797, 0.399)
Pr (0.394, 0.317, 0.894)
Pr (0.796, 0.099, 0.309)

Properties
Symmetry: C2/m
ρ (kg/m³): 6384
Total magnetic moment (μB/cell): 0.000
Energy (Ry per atom): -0.447